Compound: V6Si5
Source: Alexandria via LeMat-Bulk
Functional: PBE-GGA
Structure: optimized geometry

a b c (Å): 5.9063 5.9063 4.7601
angles (deg): 105.03 105.03 100.60
Last column: nearest neighbours and their distance in Å.
Atoms (fractional coordinates):
V 0.0347 0.3323 0.6890  4 Si 2.41-2.62, 2 V 2.57-2.62
V 0.1838 0.1838 0.2311  4 Si 2.48-2.49, 3 V 2.57-2.75
V 0.3323 0.0347 0.6890  4 Si 2.41-2.62, 2 V 2.57-2.62
V 0.6677 0.9653 0.3110  4 Si 2.41-2.62, 2 V 2.57-2.62
V 0.8162 0.8162 0.7689  4 Si 2.48-2.49, 3 V 2.57-2.75
V 0.9653 0.6677 0.3110  4 Si 2.41-2.62, 2 V 2.57-2.62
Si 0.2269 0.7731 0.0000  6 V 2.48-2.51, 3 Si 2.48-2.72
Si 0.3715 0.6285 0.5000  1 Si 2.34, 4 V 2.41-2.49
Si 0.5000 0.5000 0.0000  6 Si 2.48-2.65, 4 V 2.62
Si 0.6285 0.3715 0.5000  1 Si 2.34, 4 V 2.41-2.49
Si 0.7731 0.2269 0.0000  6 V 2.48-2.51, 3 Si 2.48-2.72

Output
Density (Mg/m³): 4.966
Size of the total moment (μB per atom): 0.000
Calculated volume (Å³/f.u.): 149.2
Formation energy from raw total energies (eV/atom): -0.15
Calculated total energy (eV/cell): -83.44
Symmetry: C2/m, No. 12


Compound: LiCe2Si4Pd3
Source: Alexandria via LeMat-Bulk
Functional: PBE-GGA
Structure: optimized geometry

a b c (Å): 4.2113 4.2113 10.0194
angles (deg): 90.00 90.00 90.00
Last column: nearest neighbours and their distance in Å.
Atoms (fractional coordinates):
Li 0.0000 0.0000 0.0000  4 Si 2.51
Ce 0.0000 0.5000 0.7504  8 Si 3.19-3.28, 6 Pd 3.25-3.27, 2 Li 3.27
Ce 0.5000 0.0000 0.2496  8 Si 3.19-3.28, 6 Pd 3.25-3.27, 2 Li 3.27
Si 0.0000 0.0000 0.5000  4 Pd 2.43
Si 0.0000 0.5000 0.1364  3 Pd 2.43-2.51, 2 Li 2.51
Si 0.5000 0.0000 0.8636  3 Pd 2.43-2.51, 2 Li 2.51
Si 0.5000 0.5000 0.5000  4 Pd 2.43
Pd 0.0000 0.5000 0.3786  5 Si 2.43
Pd 0.5000 0.0000 0.6214  5 Si 2.43
Pd 0.5000 0.5000 0.0000  4 Si 2.51

Output
Density (Mg/m³): 6.717
Size of the total moment (μB per atom): 0.037
Calculated volume (Å³/f.u.): 177.7
Formation energy from raw total energies (eV/atom): -0.77
Calculated total energy (eV/cell): -58.76
Symmetry: P-4m2, No. 115


Compound: Pr5Se4O
Source: Alexandria via LeMat-Bulk
Functional: PBE-GGA
Structure: optimized geometry

a b c (Å): 15.1391 15.1391 15.1391
angles (deg): 164.20 164.20 22.42
Last column: nearest neighbours and their distance in Å.
Atoms (fractional coordinates):
Pr 0.0000 0.0000 0.0000  4 O 2.94, 2 Se 2.99
Pr 0.2050 0.2050 0.0000  6 Se 2.97-3.10
Pr 0.4195 0.4195 0.0000  1 O 2.39
Pr 0.5805 0.5805 0.0000  1 O 2.39
Pr 0.7950 0.7950 0.0000  6 Se 2.97-3.10
Se 0.1007 0.1007 0.0000  6 Pr 2.99-3.10
Se 0.3080 0.3080 0.0000  6 Pr 2.97-3.31
Se 0.6920 0.6920 0.0000  6 Pr 2.97-3.31
Se 0.8993 0.8993 0.0000  6 Pr 2.99-3.10
O 0.5000 0.5000 0.0000  2 Pr 2.39

Output
Density (Mg/m³): 6.691
Size of the total moment (μB per atom): 0.000
Calculated volume (Å³/f.u.): 257.2
Formation energy from raw total energies (eV/atom): -1.92
Calculated total energy (eV/cell): -61.96
Symmetry: I4/mmm, No. 139


Compound: MgCrIn2
Source: Alexandria via LeMat-Bulk
Functional: PBE-GGA
Structure: optimized geometry

a b c (Å): 3.2940 3.2940 28.9682
angles (deg): 90.00 90.00 120.00
Last column: nearest neighbours and their distance in Å.
Atoms (fractional coordinates):
Mg 0.0000 0.0000 0.0000  3 Cr 2.96, 3 In 3.17, 6 Mg 3.29
Mg 0.3333 0.6667 0.6667  3 Cr 2.96, 3 In 3.17, 6 Mg 3.29
Mg 0.6667 0.3333 0.3333  3 Cr 2.96, 3 In 3.17, 6 Mg 3.29
Cr 0.0000 0.0000 0.2548  3 In 2.91, 3 Mg 2.96
Cr 0.3333 0.6667 0.9215  3 In 2.91, 3 Mg 2.96
Cr 0.6667 0.3333 0.5881  3 In 2.91, 3 Mg 2.96
In 0.0000 0.0000 0.5122  3 Cr 2.91, 3 In 3.26
In 0.0000 0.0000 0.7543  3 Mg 3.17, 9 In 3.26-3.29
In 0.3333 0.6667 0.1789  3 Cr 2.91, 3 In 3.26
In 0.3333 0.6667 0.4210  3 Mg 3.17, 9 In 3.26-3.29
In 0.6667 0.3333 0.0877  3 Mg 3.17, 9 In 3.26-3.29
In 0.6667 0.3333 0.8456  3 Cr 2.91, 3 In 3.26

Output
Formation enthalpy at 0 K (eV per atom): 0.300
Density (Mg/m³): 5.599
Size of the total moment (μB per atom): 1.034
Calculated volume (Å³/f.u.): 90.7
Calculated total energy (eV/cell): -46.48
Symmetry: R3m, No. 160


Compound: TlCuBrCl
Source: Alexandria via LeMat-Bulk
Functional: PBE-GGA
Structure: optimized geometry

a b c (Å): 11.8311 5.1388 4.0270
angles (deg): 90.00 91.37 90.00
Last column: nearest neighbours and their distance in Å.
Atoms (fractional coordinates):
Tl 0.0000 0.0000 0.0000  1 Cl 3.16, 4 Br 3.32-3.34
Tl 0.5000 0.5000 0.0000  1 Cl 3.16, 4 Br 3.32-3.34
Cu 0.3563 0.0000 0.5443  2 Cl 2.24-2.30, 1 Br 2.38
Cu 0.8563 0.5000 0.5443  2 Cl 2.24-2.30, 1 Br 2.38
Br 0.0564 0.5000 0.4994  1 Cu 2.38
Br 0.5564 0.0000 0.4994  1 Cu 2.38
Cl 0.2673 0.0000 0.0289  2 Cu 2.24-2.30
Cl 0.7673 0.5000 0.0289  2 Cu 2.24-2.30

Output
Density (Mg/m³): 5.201
Size of the total moment (μB per atom): 0.000
Calculated volume (Å³/f.u.): 122.4
Formation energy from raw total energies (eV/atom): -0.60
Calculated total energy (eV/cell): -24.75
Symmetry: Cm, No. 8


Compound: SrAgAsS4
Source: Alexandria via LeMat-Bulk
Functional: PBE-GGA
Structure: optimized geometry

a b c (Å): 8.0005 8.0005 8.0005
angles (deg): 126.73 102.24 100.96
Last column: nearest neighbours and their distance in Å.
Atoms (fractional coordinates):
Sr 0.0000 0.0000 0.0000  6 S 3.02-3.13
Sr 0.5000 0.0000 0.5000  6 S 3.02-3.13
Ag 0.5000 0.0000 0.0000  2 S 2.36
Ag 0.5000 0.5000 0.5000  2 S 2.36
As 0.1454 0.3954 0.7500  4 S 2.14-2.30
As 0.8546 0.6046 0.2500  4 S 2.14-2.30
S 0.1389 0.6978 0.4410  1 As 2.14
S 0.2432 0.3022 0.9410  1 As 2.14
S 0.2687 0.2503 0.4816  1 As 2.30, 1 Ag 2.36
S 0.2687 0.7871 0.0184  1 As 2.30, 1 Ag 2.36
S 0.7313 0.2129 0.9816  1 As 2.30, 1 Ag 2.36
S 0.7313 0.7497 0.5184  1 As 2.30, 1 Ag 2.36
S 0.7568 0.6978 0.0590  1 As 2.14
S 0.8611 0.3022 0.5590  1 As 2.14

Output
Density (Mg/m³): 3.609
Size of the total moment (μB per atom): 0.000
Calculated volume (Å³/f.u.): 183.4
Formation energy from raw total energies (eV/atom): -0.54
Calculated total energy (eV/cell): -58.93
Symmetry: Imma, No. 74


Compound: Dy2VAs
Source: Alexandria via LeMat-Bulk
Functional: PBE-GGA
Structure: optimized geometry

a b c (Å): 3.7362 3.7362 27.9672
angles (deg): 90.00 90.00 120.00
Last column: nearest neighbours and their distance in Å.
Atoms (fractional coordinates):
Dy 0.0000 0.0000 0.1037  3 As 2.78, 1 V 2.90
Dy 0.0000 0.0000 0.8963  3 As 2.78, 1 V 2.90
Dy 0.3333 0.6667 0.5629  3 As 2.78, 1 V 2.90
Dy 0.3333 0.6667 0.7704  3 As 2.78, 1 V 2.90
Dy 0.6667 0.3333 0.2296  3 As 2.78, 1 V 2.90
Dy 0.6667 0.3333 0.4371  3 As 2.78, 1 V 2.90
V 0.0000 0.0000 0.0000  2 Dy 2.90
V 0.3333 0.6667 0.6667  2 Dy 2.90
V 0.6667 0.3333 0.3333  2 Dy 2.90
As 0.0000 0.0000 0.5000  6 Dy 2.78
As 0.3333 0.6667 0.1667  6 Dy 2.78
As 0.6667 0.3333 0.8333  6 Dy 2.78

Output
Formation enthalpy at 0 K (eV per atom): 0.137
Density (Mg/m³): 6.643
Size of the total moment (μB per atom): 0.832
Calculated volume (Å³/f.u.): 112.7
Calculated total energy (eV/cell): -67.27
Symmetry: R-3m, No. 166


Compound: Li6Ca12Hg
Source: Alexandria via LeMat-Bulk
Functional: PBE-GGA
Structure: optimized geometry

a b c (Å): 8.6427 8.6427 8.6427
angles (deg): 87.85 87.85 87.85
Last column: nearest neighbours and their distance in Å.
Atoms (fractional coordinates):
Li 0.2403 0.7511 0.4037  1 Hg 3.17, 2 Li 3.31, 5 Ca 3.33-3.55
Li 0.2489 0.5963 0.7597  1 Hg 3.17, 2 Li 3.31, 5 Ca 3.33-3.55
Li 0.4037 0.2403 0.7511  1 Hg 3.17, 2 Li 3.31, 5 Ca 3.33-3.55
Li 0.5963 0.7597 0.2489  1 Hg 3.17, 2 Li 3.31, 5 Ca 3.33-3.55
Li 0.7511 0.4037 0.2403  1 Hg 3.17, 2 Li 3.31, 5 Ca 3.33-3.55
Li 0.7597 0.2489 0.5963  1 Hg 3.17, 2 Li 3.31, 5 Ca 3.33-3.55
Ca 0.0416 0.3004 0.9386  3 Li 3.46-3.66, 7 Ca 3.66-3.87
Ca 0.0614 0.9584 0.6996  3 Li 3.46-3.66, 7 Ca 3.66-3.87
Ca 0.1443 0.3523 0.4899  4 Li 3.33-3.62, 1 Hg 3.38, 3 Ca 3.51-3.61
Ca 0.3004 0.9386 0.0416  3 Li 3.46-3.66, 7 Ca 3.66-3.87
Ca 0.3523 0.4899 0.1443  4 Li 3.33-3.62, 1 Hg 3.38, 3 Ca 3.51-3.61
Ca 0.4899 0.1443 0.3523  4 Li 3.33-3.62, 1 Hg 3.38, 3 Ca 3.51-3.61
Ca 0.5101 0.8557 0.6477  4 Li 3.33-3.62, 1 Hg 3.38, 3 Ca 3.51-3.61
Ca 0.6477 0.5101 0.8557  4 Li 3.33-3.62, 1 Hg 3.38, 3 Ca 3.51-3.61
Ca 0.6996 0.0614 0.9584  3 Li 3.46-3.66, 7 Ca 3.66-3.87
Ca 0.8557 0.6477 0.5101  4 Li 3.33-3.62, 1 Hg 3.38, 3 Ca 3.51-3.61
Ca 0.9386 0.0416 0.3004  3 Li 3.46-3.66, 7 Ca 3.66-3.87
Ca 0.9584 0.6996 0.0614  3 Li 3.46-3.66, 7 Ca 3.66-3.87
Hg 0.5000 0.5000 0.5000  6 Li 3.17, 6 Ca 3.38

Output
Formation enthalpy at 0 K (eV per atom): 0.012
Density (Mg/m³): 1.864
Size of the total moment (μB per atom): 0.000
Calculated volume (Å³/f.u.): 644.3
Calculated total energy (eV/cell): -35.58
Symmetry: R-3, No. 148


Compound: KCu2Ir
Source: Alexandria via LeMat-Bulk
Functional: PBE-GGA
Structure: optimized geometry

a b c (Å): 2.7987 2.7987 29.5834
angles (deg): 90.00 90.00 120.00
Last column: nearest neighbours and their distance in Å.
Atoms (fractional coordinates):
K 0.0000 0.0000 0.0000  6 K 2.80
K 0.3333 0.6667 0.6667  6 K 2.80
K 0.6667 0.3333 0.3333  6 K 2.80
Cu 0.0000 0.0000 0.2374  3 Ir 2.64, 6 Cu 2.80
Cu 0.0000 0.0000 0.7626  3 Ir 2.64, 6 Cu 2.80
Cu 0.3333 0.6667 0.4293  3 Ir 2.64, 6 Cu 2.80
Cu 0.3333 0.6667 0.9040  3 Ir 2.64, 6 Cu 2.80
Cu 0.6667 0.3333 0.0960  3 Ir 2.64, 6 Cu 2.80
Cu 0.6667 0.3333 0.5707  3 Ir 2.64, 6 Cu 2.80
Ir 0.0000 0.0000 0.5000  6 Cu 2.64, 6 Ir 2.80
Ir 0.3333 0.6667 0.1667  6 Cu 2.64, 6 Ir 2.80
Ir 0.6667 0.3333 0.8333  6 Cu 2.64, 6 Ir 2.80

Output
Formation enthalpy at 0 K (eV per atom): 0.639
Density (Mg/m³): 8.897
Size of the total moment (μB per atom): 0.108
Calculated volume (Å³/f.u.): 66.9
Calculated total energy (eV/cell): -46.78
Symmetry: R-3m, No. 166


Compound: AsPC2
Source: Alexandria via LeMat-Bulk
Functional: PBE-GGA
Structure: optimized geometry

a b c (Å): 3.0150 5.4352 8.0417
angles (deg): 90.00 90.00 90.00
Last column: nearest neighbours and their distance in Å.
Atoms (fractional coordinates):
As 0.0000 0.0000 0.0000  2 C 1.94
As 0.0000 0.5000 0.5000  2 C 1.94
P 0.0000 0.0000 0.4544  2 C 1.85
P 0.0000 0.5000 0.9544  2 C 1.85
C 0.5000 0.0000 0.1515  1 C 1.36
C 0.5000 0.0000 0.3203  1 C 1.36
C 0.5000 0.5000 0.6515  1 C 1.36
C 0.5000 0.5000 0.8203  1 C 1.36

Output
Formation enthalpy at 0 K (eV per atom): 0.559
Density (Mg/m³): 3.274
Size of the total moment (μB per atom): 0.000
Calculated volume (Å³/f.u.): 65.9
Calculated total energy (eV/cell): -52.55
Symmetry: Amm2, No. 38


> What is the formula in the third record?

Pr5Se4O


Copy entry 2 word for word.
Compound: LiCe2Si4Pd3
Source: Alexandria via LeMat-Bulk
Functional: PBE-GGA
Structure: optimized geometry

a b c (Å): 4.2113 4.2113 10.0194
angles (deg): 90.00 90.00 90.00
Last column: nearest neighbours and their distance in Å.
Atoms (fractional coordinates):
Li 0.0000 0.0000 0.0000  4 Si 2.51
Ce 0.0000 0.5000 0.7504  8 Si 3.19-3.28, 6 Pd 3.25-3.27, 2 Li 3.27
Ce 0.5000 0.0000 0.2496  8 Si 3.19-3.28, 6 Pd 3.25-3.27, 2 Li 3.27
Si 0.0000 0.0000 0.5000  4 Pd 2.43
Si 0.0000 0.5000 0.1364  3 Pd 2.43-2.51, 2 Li 2.51
Si 0.5000 0.0000 0.8636  3 Pd 2.43-2.51, 2 Li 2.51
Si 0.5000 0.5000 0.5000  4 Pd 2.43
Pd 0.0000 0.5000 0.3786  5 Si 2.43
Pd 0.5000 0.0000 0.6214  5 Si 2.43
Pd 0.5000 0.5000 0.0000  4 Si 2.51

Output
Density (Mg/m³): 6.717
Size of the total moment (μB per atom): 0.037
Calculated volume (Å³/f.u.): 177.7
Formation energy from raw total energies (eV/atom): -0.77
Calculated total energy (eV/cell): -58.76
Symmetry: P-4m2, No. 115


> Look up the calculated volume of the eighth one.

644.3 Å³/f.u.


What did the eighth record say?
Compound: Li6Ca12Hg
Source: Alexandria via LeMat-Bulk
Functional: PBE-GGA
Structure: optimized geometry

a b c (Å): 8.6427 8.6427 8.6427
angles (deg): 87.85 87.85 87.85
Last column: nearest neighbours and their distance in Å.
Atoms (fractional coordinates):
Li 0.2403 0.7511 0.4037  1 Hg 3.17, 2 Li 3.31, 5 Ca 3.33-3.55
Li 0.2489 0.5963 0.7597  1 Hg 3.17, 2 Li 3.31, 5 Ca 3.33-3.55
Li 0.4037 0.2403 0.7511  1 Hg 3.17, 2 Li 3.31, 5 Ca 3.33-3.55
Li 0.5963 0.7597 0.2489  1 Hg 3.17, 2 Li 3.31, 5 Ca 3.33-3.55
Li 0.7511 0.4037 0.2403  1 Hg 3.17, 2 Li 3.31, 5 Ca 3.33-3.55
Li 0.7597 0.2489 0.5963  1 Hg 3.17, 2 Li 3.31, 5 Ca 3.33-3.55
Ca 0.0416 0.3004 0.9386  3 Li 3.46-3.66, 7 Ca 3.66-3.87
Ca 0.0614 0.9584 0.6996  3 Li 3.46-3.66, 7 Ca 3.66-3.87
Ca 0.1443 0.3523 0.4899  4 Li 3.33-3.62, 1 Hg 3.38, 3 Ca 3.51-3.61
Ca 0.3004 0.9386 0.0416  3 Li 3.46-3.66, 7 Ca 3.66-3.87
Ca 0.3523 0.4899 0.1443  4 Li 3.33-3.62, 1 Hg 3.38, 3 Ca 3.51-3.61
Ca 0.4899 0.1443 0.3523  4 Li 3.33-3.62, 1 Hg 3.38, 3 Ca 3.51-3.61
Ca 0.5101 0.8557 0.6477  4 Li 3.33-3.62, 1 Hg 3.38, 3 Ca 3.51-3.61
Ca 0.6477 0.5101 0.8557  4 Li 3.33-3.62, 1 Hg 3.38, 3 Ca 3.51-3.61
Ca 0.6996 0.0614 0.9584  3 Li 3.46-3.66, 7 Ca 3.66-3.87
Ca 0.8557 0.6477 0.5101  4 Li 3.33-3.62, 1 Hg 3.38, 3 Ca 3.51-3.61
Ca 0.9386 0.0416 0.3004  3 Li 3.46-3.66, 7 Ca 3.66-3.87
Ca 0.9584 0.6996 0.0614  3 Li 3.46-3.66, 7 Ca 3.66-3.87
Hg 0.5000 0.5000 0.5000  6 Li 3.17, 6 Ca 3.38

Output
Formation enthalpy at 0 K (eV per atom): 0.012
Density (Mg/m³): 1.864
Size of the total moment (μB per atom): 0.000
Calculated volume (Å³/f.u.): 644.3
Calculated total energy (eV/cell): -35.58
Symmetry: R-3, No. 148